## Be2As (PBE-GGA)

Data for a relaxed structure of Be2As.

Summary:
Its energy of formation is 234 meV/atom. The density of states at the Fermi level is 2.59 states/eV/cell. The energy above the most stable polymorph in this dataset comes out at 127 meV/atom. The total energy is -3.800 eV/atom.

Cell: 14.885 14.885 14.885 Å, 166.92 166.92 18.54°
Positions (direct):
Be 0.125 0.375 0.750
Be 0.326 0.576 0.750
Be 0.375 0.125 0.250
Be 0.424 0.674 0.750
Be 0.576 0.326 0.250
Be 0.625 0.875 0.750
Be 0.674 0.424 0.250
Be 0.875 0.625 0.250
As 0.060 0.810 0.250
As 0.190 0.940 0.250
As 0.810 0.060 0.750
As 0.940 0.190 0.750